Computed, not measured: a relaxed structure of BaCa3Cu at the PBE-GGA level of DFT.

Cell lengths 5.834, 5.834, 5.834 Å; angles 90.00, 90.00, 90.00 degrees
Fractional positions:
Ca 0.500 0.000 0.000
Ca 0.000 0.500 0.000
Ca 0.000 0.000 0.500
Cu 0.000 0.000 0.000
Ba 0.500 0.500 0.500

VASP energy: -2.42 eV per atom
spin magnetization: 0.00 μB/cell